Below is a geometry-optimized Th12IrAu6 structure, with properties calculated at the PBE-GGA level.

Output
Its electronic total energy is -122.55 eV/cell. As for the symmetry: No. 148. The calculation puts the formation energy at -0.2623 eV/atom. For the mass density, the calculation gives 12.29 Mg/m³.

a b c (Å): 8.303 8.303 8.303
angles (deg): 96.18 96.18 96.18
Sites, in units of the cell vectors:
Th 0.034 0.057 0.337
Th 0.057 0.337 0.034
Th 0.188 0.427 0.564
Th 0.337 0.034 0.057
Th 0.427 0.564 0.188
Th 0.436 0.812 0.573
Th 0.564 0.188 0.427
Th 0.573 0.436 0.812
Th 0.663 0.966 0.943
Th 0.812 0.573 0.436
Th 0.943 0.663 0.966
Th 0.966 0.943 0.663
Ir 0.000 0.000 0.000
Au 0.132 0.698 0.324
Au 0.302 0.676 0.868
Au 0.324 0.132 0.698
Au 0.676 0.868 0.302
Au 0.698 0.324 0.132
Au 0.868 0.302 0.676